(1)
# CaAc6CoRh PBE optimized geometry
# **Energy relative to the elements**: -1.8 kJ/mol of atoms
# **DFT total energy**: -4.59 eV/atom
data_CaAc6CoRh
_chemical_formula_sum 'Ca1 Ac6 Co1 Rh1'
_symmetry_space_group_name_H-M 'P 3 1 2'
_symmetry_Int_Tables_number 149
_symmetry_space_group_name_Hall 'P 3 2'
_cell_length_a 7.5176
_cell_length_b 7.5176
_cell_length_c 7.7573
_cell_angle_alpha 90.00
_cell_angle_beta 90.00
_cell_angle_gamma 120.00
loop_
_atom_site_label
_atom_site_fract_x
_atom_site_fract_y
_atom_site_fract_z
Ca1 0.0000 0.0000 0.0000
Ac1 0.0085 0.3761 0.2844
Co1 0.3333 0.6667 0.5000
Rh1 0.6667 0.3333 0.5000



(2)
# SrCaAc2Co PBE optimized geometry
# **Energy relative to the elements**: 0.5 kJ/mol of atoms
# **DFT total energy**: -3.80 eV/atom
data_SrCaAc2Co
_chemical_formula_sum 'Sr1 Ca1 Ac2 Co1'
_symmetry_space_group_name_H-M 'P 4/m m m'
_symmetry_Int_Tables_number 123
_symmetry_space_group_name_Hall '-P 4 2'
_cell_length_a 5.7041
_cell_length_b 5.7041
_cell_length_c 5.9318
_cell_angle_alpha 90.00
_cell_angle_beta 90.00
_cell_angle_gamma 90.00
loop_
_atom_site_label
_atom_site_fract_x
_atom_site_fract_y
_atom_site_fract_z
Sr1 0.0000 0.0000 0.0000
Ca1 0.5000 0.5000 0.0000
Ac1 0.0000 0.5000 0.5000
Co1 0.5000 0.5000 0.5000



(3)
# CaAc3Cr2N6 PBE optimized geometry
# **DFT total energy**: -7.87 eV/atom
data_CaAc3Cr2N6
_chemical_formula_sum 'Ca1 Ac3 Cr2 N6'
_symmetry_space_group_name_H-M 'P -3 m 1'
_symmetry_Int_Tables_number 164
_symmetry_space_group_name_Hall '-P 3 2"'
_cell_length_a 5.9642
_cell_length_b 5.9642
_cell_length_c 6.9696
_cell_angle_alpha 90.00
_cell_angle_beta 90.00
_cell_angle_gamma 120.00
loop_
_atom_site_label
_atom_site_fract_x
_atom_site_fract_y
_atom_site_fract_z
Ca1 0.0000 0.0000 0.0000
Ac1 0.0000 0.0000 0.5000
Ac2 0.3333 0.6667 0.1901
Cr1 0.3333 0.6667 0.7163
N1 0.1729 0.3459 0.7809



(4)
# CaAcCrN3 PBE optimized geometry
# **DFT total energy**: -7.62 eV/atom
data_CaAcCrN3
_chemical_formula_sum 'Ca4 Ac4 Cr4 N12'
_symmetry_space_group_name_H-M 'C m c m'
_symmetry_Int_Tables_number 63
_symmetry_space_group_name_Hall '-C 2c 2'
_cell_length_a 3.4890
_cell_length_b 11.6329
_cell_length_c 9.8442
_cell_angle_alpha 90.00
_cell_angle_beta 90.00
_cell_angle_gamma 90.00
loop_
_atom_site_label
_atom_site_fract_x
_atom_site_fract_y
_atom_site_fract_z
Ca1 0.0000 0.0000 0.0000
Ac1 0.0000 0.2481 0.2500
Cr1 0.0000 0.4792 0.7500
N1 0.0000 0.0584 0.7500
N2 0.0000 0.3797 0.6104



(5)
# CaAc2CrN4 PBE optimized geometry
# **DFT total energy**: -7.44 eV/atom
data_CaAc2CrN4
_chemical_formula_sum 'Ca4 Ac8 Cr4 N16'
_symmetry_space_group_name_H-M 'C m c m'
_symmetry_Int_Tables_number 63
_symmetry_space_group_name_Hall '-C 2c 2'
_cell_length_a 3.6639
_cell_length_b 13.5516
_cell_length_c 12.4834
_cell_angle_alpha 90.00
_cell_angle_beta 90.00
_cell_angle_gamma 90.00
loop_
_atom_site_label
_atom_site_fract_x
_atom_site_fract_y
_atom_site_fract_z
Ca1 0.0000 0.1539 0.2500
Ac1 0.0000 0.3725 0.0367
Cr1 0.0000 0.1806 0.7500
N1 0.0000 0.0000 0.0000
N2 0.0000 0.2650 0.6353
N3 0.0000 0.3666 0.2500



(6)
# Ca2AcCrN4 PBE optimized geometry
# **DFT total energy**: -7.27 eV/atom
data_Ca2AcCrN4
_chemical_formula_sum 'Ca8 Ac4 Cr4 N16'
_symmetry_space_group_name_H-M 'C m c m'
_symmetry_Int_Tables_number 63
_symmetry_space_group_name_Hall '-C 2c 2'
_cell_length_a 3.4619
_cell_length_b 12.0692
_cell_length_c 11.8058
_cell_angle_alpha 90.00
_cell_angle_beta 90.00
_cell_angle_gamma 90.00
loop_
_atom_site_label
_atom_site_fract_x
_atom_site_fract_y
_atom_site_fract_z
Ca1 0.0000 0.1268 0.0395
Ac1 0.0000 0.4214 0.2500
Cr1 0.0000 0.3157 0.7500
N1 0.0000 0.1025 0.2500
N2 0.0000 0.2302 0.6355
N3 0.0000 0.5000 0.0000